Entry 1:
This record from Alexandria describes a relaxed CsIn2Pb2 crystal. The functional is PBE.

Calculated values
Energy above the most stable polymorph in this dataset, meV per atom: 33
Energy relative to the elements, kJ per mole of atoms: -9.9
Calculated total energy, Ry/atom: -0.20961

Lattice parameters (Å, degrees): 7.7947 7.7947 7.7947 141.15 141.15 56.12
Fractional coordinates of all 5 atoms:
1 Cs 0.0000 0.0000 0.0000
2 In 0.2500 0.7500 0.5000
3 In 0.7500 0.2500 0.5000
4 Pb 0.3784 0.3784 0.0000
5 Pb 0.6216 0.6216 0.0000

=====

Entry 2:
This record from Alexandria describes a relaxed SrPtClO2 crystal. The functional is PBE.

Calculated values
Calculated total energy, Ry/atom: -0.27539
E_form (uncorrected), eV per atom: 0.15

Lattice parameters (Å, degrees): 4.4643 4.4643 5.8581 90.00 90.00 90.00
Fractional coordinates of all 5 atoms:
1 Sr 0.0000 0.0000 0.0000
2 Pt 0.5000 0.5000 0.5000
3 Cl 0.0000 0.0000 0.5000
4 O 0.0000 0.5000 0.0000
5 O 0.5000 0.0000 0.0000